Run 1
First-principles (GGA-PBE) data for a geometry-optimized DyLu2V structure, as listed in the Alexandria database.

The calculation puts the size of the total moment at 2.26 μB per formula unit. For the density of states at the Fermi level, the calculation gives 16.5 states/eV per cell.

Geometry as CIF:
```
data_DyLu2V
_chemical_formula_sum 'Dy3 Lu6 V3'
_cell_length_a 3.3932
_cell_length_b 3.3932
_cell_length_c 31.2434
_cell_angle_alpha 90.00
_cell_angle_beta 90.00
_cell_angle_gamma 120.00
_space_group_name_H-M_alt 'R -3 m'
_space_group_IT_number 166
_space_group_name_Hall '-R 3 2"'
loop_
_atom_site_label
_atom_site_fract_x
_atom_site_fract_y
_atom_site_fract_z
_atom_site_occupancy
Dy1 0.0000 0.0000 0.0000 1
Lu1 0.0000 0.0000 0.2378 1
V1 0.0000 0.0000 0.5000 1
```

Run 2
First-principles (GGA-PBE) data for a geometry-optimized DyLu2V structure, as listed in the Alexandria database.

The calculation puts the size of the total moment at 3.12 μB per formula unit. For the density of states at the Fermi level, the calculation gives 4.8 states/eV per cell.

Geometry as CIF:
```
data_DyLu2V
_chemical_formula_sum 'Dy1 Lu2 V1'
_cell_length_a 3.532
_cell_length_b 3.532
_cell_length_c 8.425
_cell_angle_alpha 90.00
_cell_angle_beta 90.00
_cell_angle_gamma 90.00
_space_group_name_H-M_alt 'P 4/m m m'
_space_group_IT_number 123
_space_group_name_Hall '-P 4 2'
loop_
_atom_site_label
_atom_site_fract_x
_atom_site_fract_y
_atom_site_fract_z
_atom_site_occupancy
Dy1 0.000 0.000 0.000 1
Lu1 0.500 0.500 0.301 1
V1 0.000 0.000 0.500 1
```

Order of stability, best first: run 2, run 1